Record 1
ReTcCl2 (PBE, relaxed); uncorrected formation energy = 1363 meV per atom; space-group type = P4/mmm, No. 123; magnetization = 0.0 μB per cell; energy relative to the lowest polymorph listed for this composition = 1514 meV/atom; uncorrected energy = -5.2638 eV per atom
1.0
4.346 0.000 0.000
0.000 4.346 0.000
0.000 0.000 3.064
Re Cl Tc
1 2 1
Cartesian
2.173 0.000 1.532
0.000 0.000 0.000
2.173 2.173 0.000
0.000 2.173 1.532

***

Record 2
NaNd3Sm4Se8 (PBE, relaxed); uncorrected formation energy = -1793 meV per atom; space-group type = R-3m, No. 166; magnetization = 0.0 μB per cell; uncorrected energy = -5.6916 eV per atom
1.0
8.400 0.000 0.000
0.000 8.403 -0.003
-4.200 -4.196 5.943
Na Sm Nd Se
1 4 3 8
Cartesian
0.000 4.202 -0.002
2.100 -2.098 2.971
0.000 0.000 0.000
-2.100 -2.098 2.971
4.200 0.000 0.000
-2.100 2.104 2.970
2.100 2.104 2.970
4.200 4.202 -0.002
2.123 -2.100 5.923
0.000 -0.025 2.951
6.323 6.307 0.017
4.200 -0.024 2.983
2.077 6.307 0.017
0.000 4.232 2.957
-2.123 -2.100 5.923
4.200 4.232 2.988

***

Record 3
PrInSn (PBE, relaxed); space-group type = I4mm, No. 107; DFT formation energy = -0.3838 eV/atom; magnetization = 0.3 μB per cell; energy relative to the lowest polymorph listed for this composition = 136 meV/atom; uncorrected energy = -4.2241 eV per atom
1.0
3.820 0.000 0.000
-1.910 5.961 -1.459
0.000 2.018 3.243
Pr In Sn
1 1 1
Cartesian
1.910 3.145 0.293
0.000 2.344 3.041
0.000 5.994 0.770